# 1
Cu3Ag2 after structural relaxation. Source: the Open Quantum Materials Database, functional PBE-GGA.

Calculated formation energy ... 0.10 eV/atom
Calculated total energy ... -3.264 eV per atom
Space group ... P1
Energy above the most stable polymorph in this dataset ... 54 meV per atom

Cell and atoms, written as CIF:
```
data_Cu3Ag2
_chemical_formula_sum 'Cu6 Ag4'
_cell_length_a 4.687
_cell_length_b 4.754
_cell_length_c 7.168
_cell_angle_alpha 107.71
_cell_angle_beta 102.65
_cell_angle_gamma 100.33
_symmetry_space_group_name_H-M 'P 1'
_symmetry_Int_Tables_number 1
loop_
_symmetry_equiv_pos_as_xyz
'x,y,z'
loop_
_atom_site_label
_atom_site_fract_x
_atom_site_fract_y
_atom_site_fract_z
_atom_site_occupancy
Cu1 0.000 0.000 0.000 1
Cu2 0.102 0.197 0.722 1
Cu3 0.282 0.572 0.092 1
Cu4 0.580 0.194 0.194 1
Cu5 0.712 0.392 0.907 1
Cu6 0.813 0.602 0.620 1
Ag1 0.191 0.391 0.401 1
Ag2 0.406 0.791 0.818 1
Ag3 0.513 0.011 0.513 1
Ag4 0.877 0.783 0.288 1
```

***

# 2
Cu3Ag2 after structural relaxation. Source: the Open Quantum Materials Database, functional PBE-GGA.

Calculated formation energy ... 0.11 eV/atom
Calculated total energy ... -3.252 eV per atom
Space group ... R-3m
Energy above the most stable polymorph in this dataset ... 65 meV per atom

Cell and atoms, written as CIF:
```
data_Cu3Ag2
_chemical_formula_sum 'Cu6 Ag4'
_cell_length_a 21.710
_cell_length_b 21.710
_cell_length_c 21.710
_cell_angle_alpha 7.35
_cell_angle_beta 7.35
_cell_angle_gamma 7.35
_symmetry_space_group_name_H-M 'P 1'
_symmetry_Int_Tables_number 1
loop_
_symmetry_equiv_pos_as_xyz
'x,y,z'
loop_
_atom_site_label
_atom_site_fract_x
_atom_site_fract_y
_atom_site_fract_z
_atom_site_occupancy
Cu1 0.045 0.045 0.045 1
Cu2 0.348 0.348 0.348 1
Cu3 0.447 0.447 0.447 1
Cu4 0.553 0.553 0.553 1
Cu5 0.652 0.652 0.652 1
Cu6 0.955 0.955 0.955 1
Ag1 0.148 0.148 0.148 1
Ag2 0.254 0.254 0.254 1
Ag3 0.746 0.746 0.746 1
Ag4 0.852 0.852 0.852 1
```

***

# 3
CuAg after structural relaxation. Source: the Open Quantum Materials Database, functional PBE-GGA.

Calculated formation energy ... 0.09 eV/atom
Calculated total energy ... -3.182 eV per atom
Space group ... Pmm2

Cell and atoms, written as CIF:
```
data_CuAg
_chemical_formula_sum 'Cu5 Ag5'
_cell_length_a 2.831
_cell_length_b 3.625
_cell_length_c 14.612
_cell_angle_alpha 90.00
_cell_angle_beta 90.00
_cell_angle_gamma 90.00
_symmetry_space_group_name_H-M 'P 1'
_symmetry_Int_Tables_number 1
loop_
_symmetry_equiv_pos_as_xyz
'x,y,z'
loop_
_atom_site_label
_atom_site_fract_x
_atom_site_fract_y
_atom_site_fract_z
_atom_site_occupancy
Cu1 0.000 0.000 0.000 1
Cu2 0.000 0.000 0.197 1
Cu3 0.000 0.000 0.564 1
Cu4 0.500 0.500 0.282 1
Cu5 0.500 0.500 0.480 1
Ag1 0.000 0.000 0.381 1
Ag2 0.000 0.000 0.782 1
Ag3 0.500 0.500 0.098 1
Ag4 0.500 0.500 0.664 1
Ag5 0.500 0.500 0.900 1
```

***

# 4
Cu2Ag7 after structural relaxation. Source: the Open Quantum Materials Database, functional PBE-GGA.

Calculated formation energy ... 0.06 eV/atom
Calculated total energy ... -2.966 eV per atom
Space group ... C2/m
Energy above the most stable polymorph in this dataset ... 30 meV per atom

Cell and atoms, written as CIF:
```
data_Cu2Ag7
_chemical_formula_sum 'Cu2 Ag7'
_cell_length_a 7.525
_cell_length_b 7.525
_cell_length_c 7.012
_cell_angle_alpha 91.71
_cell_angle_beta 91.71
_cell_angle_gamma 22.28
_symmetry_space_group_name_H-M 'P 1'
_symmetry_Int_Tables_number 1
loop_
_symmetry_equiv_pos_as_xyz
'x,y,z'
loop_
_atom_site_label
_atom_site_fract_x
_atom_site_fract_y
_atom_site_fract_z
_atom_site_occupancy
Cu1 0.056 0.056 0.328 1
Cu2 0.944 0.944 0.672 1
Ag1 0.165 0.165 0.991 1
Ag2 0.282 0.282 0.668 1
Ag3 0.399 0.399 0.352 1
Ag4 0.500 0.500 0.000 1
Ag5 0.601 0.601 0.648 1
Ag6 0.718 0.718 0.332 1
Ag7 0.835 0.835 0.009 1
```

***

# 5
CuAg after structural relaxation. Source: the Open Quantum Materials Database, functional PBE-GGA.

Calculated formation energy ... 0.12 eV/atom
Calculated total energy ... -3.153 eV per atom
Space group ... P4/nmm

Cell and atoms, written as CIF:
```
data_CuAg
_chemical_formula_sum 'Cu6 Ag6'
_cell_length_a 2.789
_cell_length_b 2.789
_cell_length_c 23.900
_cell_angle_alpha 90.00
_cell_angle_beta 90.00
_cell_angle_gamma 90.00
_symmetry_space_group_name_H-M 'P 1'
_symmetry_Int_Tables_number 1
loop_
_symmetry_equiv_pos_as_xyz
'x,y,z'
loop_
_atom_site_label
_atom_site_fract_x
_atom_site_fract_y
_atom_site_fract_z
_atom_site_occupancy
Cu1 0.250 0.250 0.033 1
Cu2 0.250 0.250 0.162 1
Cu3 0.250 0.250 0.902 1
Cu4 0.750 0.750 0.098 1
Cu5 0.750 0.750 0.838 1
Cu6 0.750 0.750 0.967 1
Ag1 0.250 0.250 0.270 1
Ag2 0.250 0.250 0.454 1
Ag3 0.250 0.250 0.638 1
Ag4 0.750 0.750 0.362 1
Ag5 0.750 0.750 0.546 1
Ag6 0.750 0.750 0.730 1
```

***

# 6
CuAg after structural relaxation. Source: the Open Quantum Materials Database, functional PBE-GGA.

Calculated formation energy ... 0.03 eV/atom
Calculated total energy ... -3.238 eV per atom
Space group ... P4/nmm

Cell and atoms, written as CIF:
```
data_CuAg
_chemical_formula_sum 'Cu6 Ag6'
_cell_length_a 2.898
_cell_length_b 2.898
_cell_length_c 21.233
_cell_angle_alpha 90.00
_cell_angle_beta 90.00
_cell_angle_gamma 90.00
_symmetry_space_group_name_H-M 'P 1'
_symmetry_Int_Tables_number 1
loop_
_symmetry_equiv_pos_as_xyz
'x,y,z'
loop_
_atom_site_label
_atom_site_fract_x
_atom_site_fract_y
_atom_site_fract_z
_atom_site_occupancy
Cu1 0.250 0.250 0.034 1
Cu2 0.250 0.250 0.168 1
Cu3 0.250 0.250 0.899 1
Cu4 0.750 0.750 0.101 1
Cu5 0.750 0.750 0.832 1
Cu6 0.750 0.750 0.966 1
Ag1 0.250 0.250 0.352 1
Ag2 0.250 0.250 0.549 1
Ag3 0.250 0.250 0.747 1
Ag4 0.750 0.750 0.253 1
Ag5 0.750 0.750 0.451 1
Ag6 0.750 0.750 0.648 1
```

***

# 7
Cu3Ag2 after structural relaxation. Source: the Open Quantum Materials Database, functional PBE-GGA.

Calculated formation energy ... 0.10 eV/atom
Calculated total energy ... -3.260 eV per atom
Space group ... R3m
Energy above the most stable polymorph in this dataset ... 58 meV per atom

Cell and atoms, written as CIF:
```
data_Cu3Ag2
_chemical_formula_sum 'Cu6 Ag4'
_cell_length_a 21.689
_cell_length_b 21.689
_cell_length_c 21.689
_cell_angle_alpha 7.32
_cell_angle_beta 7.32
_cell_angle_gamma 7.32
_symmetry_space_group_name_H-M 'P 1'
_symmetry_Int_Tables_number 1
loop_
_symmetry_equiv_pos_as_xyz
'x,y,z'
loop_
_atom_site_label
_atom_site_fract_x
_atom_site_fract_y
_atom_site_fract_z
_atom_site_occupancy
Cu1 0.000 0.000 0.000 1
Cu2 0.090 0.090 0.090 1
Cu3 0.188 0.188 0.188 1
Cu4 0.393 0.393 0.393 1
Cu5 0.696 0.696 0.696 1
Cu6 0.787 0.787 0.787 1
Ag1 0.299 0.299 0.299 1
Ag2 0.488 0.488 0.488 1
Ag3 0.594 0.594 0.594 1
Ag4 0.889 0.889 0.889 1
```

***

# 8
CuAg after structural relaxation. Source: the Open Quantum Materials Database, functional PBE-GGA.

Calculated formation energy ... 0.10 eV/atom
Calculated total energy ... -3.167 eV per atom
Space group ... Pm

Cell and atoms, written as CIF:
```
data_CuAg
_chemical_formula_sum 'Cu5 Ag5'
_cell_length_a 4.743
_cell_length_b 2.822
_cell_length_c 11.246
_cell_angle_alpha 90.00
_cell_angle_beta 94.00
_cell_angle_gamma 90.00
_symmetry_space_group_name_H-M 'P 1'
_symmetry_Int_Tables_number 1
loop_
_symmetry_equiv_pos_as_xyz
'x,y,z'
loop_
_atom_site_label
_atom_site_fract_x
_atom_site_fract_y
_atom_site_fract_z
_atom_site_occupancy
Cu1 0.000 0.000 0.000 1
Cu2 0.089 0.500 0.817 1
Cu3 0.202 0.000 0.626 1
Cu4 0.316 0.500 0.440 1
Cu5 0.449 0.500 0.022 1
Ag1 0.372 0.000 0.231 1
Ag2 0.579 0.000 0.833 1
Ag3 0.704 0.500 0.625 1
Ag4 0.828 0.000 0.414 1
Ag5 0.870 0.500 0.191 1
```

***

# 9
CuAg8 after structural relaxation. Source: the Open Quantum Materials Database, functional PBE-GGA.

Calculated formation energy ... 0.03 eV/atom
Calculated total energy ... -2.891 eV per atom
Space group ... C2/m
Energy above the most stable polymorph in this dataset ... 12 meV per atom

Cell and atoms, written as CIF:
```
data_CuAg8
_chemical_formula_sum 'Cu1 Ag8'
_cell_length_a 6.494
_cell_length_b 6.494
_cell_length_c 6.508
_cell_angle_alpha 107.37
_cell_angle_beta 107.37
_cell_angle_gamma 36.85
_symmetry_space_group_name_H-M 'P 1'
_symmetry_Int_Tables_number 1
loop_
_symmetry_equiv_pos_as_xyz
'x,y,z'
loop_
_atom_site_label
_atom_site_fract_x
_atom_site_fract_y
_atom_site_fract_z
_atom_site_occupancy
Cu1 0.000 0.000 0.000 1
Ag1 0.110 0.110 0.671 1
Ag2 0.220 0.220 0.329 1
Ag3 0.337 0.337 0.000 1
Ag4 0.446 0.446 0.674 1
Ag5 0.554 0.554 0.326 1
Ag6 0.663 0.663 0.000 1
Ag7 0.780 0.780 0.671 1
Ag8 0.890 0.890 0.329 1
```

***

# 10
CuAg after structural relaxation. Source: the Open Quantum Materials Database, functional PBE-GGA.

Calculated formation energy ... 0.10 eV/atom
Calculated total energy ... -3.171 eV per atom
Space group ... Pm

Cell and atoms, written as CIF:
```
data_CuAg
_chemical_formula_sum 'Cu5 Ag5'
_cell_length_a 6.760
_cell_length_b 2.783
_cell_length_c 8.074
_cell_angle_alpha 90.00
_cell_angle_beta 103.74
_cell_angle_gamma 90.00
_symmetry_space_group_name_H-M 'P 1'
_symmetry_Int_Tables_number 1
loop_
_symmetry_equiv_pos_as_xyz
'x,y,z'
loop_
_atom_site_label
_atom_site_fract_x
_atom_site_fract_y
_atom_site_fract_z
_atom_site_occupancy
Cu1 0.000 0.000 0.000 1
Cu2 0.072 0.500 0.284 1
Cu3 0.281 0.500 0.886 1
Cu4 0.562 0.000 0.795 1
Cu5 0.801 0.000 0.388 1
Ag1 0.180 0.000 0.585 1
Ag2 0.372 0.000 0.182 1
Ag3 0.502 0.500 0.490 1
Ag4 0.695 0.500 0.085 1
Ag5 0.877 0.500 0.712 1
```

***

It is found that the V values, taken in the order of the records, are 14.32 14.54 15.00 16.72 15.49 14.86 14.37 15.02 17.36 14.76 Å³/atom.